Crystalline Eu3Sc5F12 at its relaxed geometry. Source: Alexandria, functional PBE-GGA.

a = 11.9747 Å, b = 11.9747 Å, c = 11.9747 Å
α = 109.47°, β = 109.47°, γ = 109.47°
Positions (direct):
Eu (0.1250, 0.2500, 0.3750)
Eu (0.1250, 0.3750, 0.7500)
Eu (0.2500, 0.3750, 0.1250)
Eu (0.2500, 0.8750, 0.6250)
Eu (0.3750, 0.1250, 0.2500)
Eu (0.3750, 0.7500, 0.1250)
Eu (0.6250, 0.2500, 0.8750)
Eu (0.6250, 0.8750, 0.7500)
Eu (0.7500, 0.1250, 0.3750)
Eu (0.7500, 0.6250, 0.8750)
Eu (0.8750, 0.6250, 0.2500)
Eu (0.8750, 0.7500, 0.6250)
Sc (0.0000, 0.0000, 0.0000)
Sc (0.0000, 0.0000, 0.5000)
Sc (0.0000, 0.5000, 0.0000)
Sc (0.0000, 0.5000, 0.5000)
Sc (0.1250, 0.7500, 0.8750)
Sc (0.1250, 0.8750, 0.2500)
Sc (0.2500, 0.1250, 0.8750)
Sc (0.2500, 0.6250, 0.3750)
Sc (0.3750, 0.2500, 0.6250)
Sc (0.3750, 0.6250, 0.7500)
Sc (0.5000, 0.0000, 0.0000)
Sc (0.5000, 0.0000, 0.5000)
Sc (0.5000, 0.5000, 0.0000)
Sc (0.5000, 0.5000, 0.5000)
Sc (0.6250, 0.3750, 0.2500)
Sc (0.6250, 0.7500, 0.3750)
Sc (0.7500, 0.3750, 0.6250)
Sc (0.7500, 0.8750, 0.1250)
Sc (0.8750, 0.1250, 0.7500)
Sc (0.8750, 0.2500, 0.1250)
F (0.0488, 0.2095, 0.1441)
F (0.0488, 0.3393, 0.9047)
F (0.0654, 0.7095, 0.6607)
F (0.0654, 0.8559, 0.4047)
F (0.0953, 0.6441, 0.4346)
F (0.0953, 0.9512, 0.6607)
F (0.1441, 0.0488, 0.2095)
F (0.1441, 0.5953, 0.9346)
F (0.1607, 0.2095, 0.5654)
F (0.1607, 0.4512, 0.5953)
F (0.2095, 0.1441, 0.0488)
F (0.2095, 0.5654, 0.1607)
F (0.2905, 0.3393, 0.9346)
F (0.2905, 0.4512, 0.3559)
F (0.3393, 0.9047, 0.0488)
F (0.3393, 0.9346, 0.2905)
F (0.3559, 0.2905, 0.4512)
F (0.3559, 0.5654, 0.9047)
F (0.4047, 0.0654, 0.8559)
F (0.4047, 0.8393, 0.5488)
F (0.4346, 0.0953, 0.6441)
F (0.4346, 0.8393, 0.7905)
F (0.4512, 0.3559, 0.2905)
F (0.4512, 0.5953, 0.1607)
F (0.5488, 0.4047, 0.8393)
F (0.5488, 0.6441, 0.7095)
F (0.5654, 0.1607, 0.2095)
F (0.5654, 0.9047, 0.3559)
F (0.5953, 0.1607, 0.4512)
F (0.5953, 0.9346, 0.1441)
F (0.6441, 0.4346, 0.0953)
F (0.6441, 0.7095, 0.5488)
F (0.6607, 0.0654, 0.7095)
F (0.6607, 0.0953, 0.9512)
F (0.7095, 0.5488, 0.6441)
F (0.7095, 0.6607, 0.0654)
F (0.7905, 0.4346, 0.8393)
F (0.7905, 0.8559, 0.9512)
F (0.8393, 0.5488, 0.4047)
F (0.8393, 0.7905, 0.4346)
F (0.8559, 0.4047, 0.0654)
F (0.8559, 0.9512, 0.7905)
F (0.9047, 0.0488, 0.3393)
F (0.9047, 0.3559, 0.5654)
F (0.9346, 0.1441, 0.5953)
F (0.9346, 0.2905, 0.3393)
F (0.9512, 0.6607, 0.0953)
F (0.9512, 0.7905, 0.8559)

* E_tot: -7.158 eV per atom
* E_form (uncorrected): -2.9108 eV per atom
* SG: Ia-3d
* N(E_F): 13.04 states/eV/f.u.

Crystalline Eu2SiF at its relaxed geometry. Source: Alexandria, functional PBE-GGA.

a = 8.0008 Å, b = 8.0008 Å, c = 8.0008 Å
α = 33.64°, β = 33.64°, γ = 33.64°
Positions (direct):
Eu (0.1013, 0.1013, 0.1013)
Eu (0.8987, 0.8987, 0.8987)
Si (0.5000, 0.5000, 0.5000)
F (0.0000, 0.0000, 0.0000)

* E_tot: -8.404 eV per atom
* E_form (uncorrected): -1.4432 eV per atom
* SG: R-3m
* N(E_F): 19.46 states/eV/f.u.

Crystalline SmEu3F at its relaxed geometry. Source: Alexandria, functional PBE-GGA.

a = 5.3762 Å, b = 5.3762 Å, c = 5.3762 Å
α = 90.00°, β = 90.00°, γ = 90.00°
Positions (direct):
Sm (0.0000, 0.0000, 0.0000)
Eu (0.0000, 0.5000, 0.5000)
Eu (0.5000, 0.0000, 0.5000)
Eu (0.5000, 0.5000, 0.0000)
F (0.5000, 0.5000, 0.5000)

* E_tot: -8.459 eV per atom
* E_form (uncorrected): -0.9762 eV per atom
* SG: Pm-3m
* N(E_F): 3.47 states/eV/f.u.